## Na3Ge4Au4 (PBE)

Data for Na3Ge4Au4 after structural relaxation.

Lattice parameters (Å, degrees): 4.5646 4.6073 12.6013 101.78 100.43 90.00
Element x y z (fractional)
Au 0.2470 0.2773 0.4940
Au 0.0932 0.6064 0.1863
Au 0.9068 0.3936 0.8137
Au 0.7530 0.7227 0.5060
Ge 0.5496 0.5510 0.0992
Ge 0.1979 0.7252 0.3958
Ge 0.4504 0.4490 0.9008
Ge 0.8021 0.2748 0.6042
Na 0.3558 0.8459 0.7116
Na 0.0000 0.0000 0.0000
Na 0.6442 0.1541 0.2884

The value obtained for the formation energy is -199 meV per atom. The size of the total moment comes out at 0.000 μB/atom. The crystal system is monoclinic.